No. 1
Below is a relaxed CsErTa6Cl18 crystal, with properties calculated at the PBE-GGA level.

Cell lengths 9.4478, 9.4478, 17.4783 Å; angles 90.00, 90.00, 120.00 degrees
Last column: nearest neighbours and their distance in Å.
Element x y z (fractional)
Cl: 0.9488 0.1822 0.1599  2 Ta 2.46-2.47
Cl: 0.8178 0.0512 0.3401  2 Ta 2.46-2.47
Cl: 0.1822 0.9488 0.6599  2 Ta 2.46-2.47
Cl: 0.2804 0.4122 0.5011  2 Ta 2.47
Cl: 0.2334 0.0512 0.1599  2 Ta 2.46-2.47
Cl: 0.5533 0.9044 0.1618  1 Er 2.66, 1 Ta 2.74
Cl: 0.4122 0.1317 0.4989  2 Ta 2.47
Cl: 0.7196 0.5878 0.4989  2 Ta 2.47
Cl: 0.6489 0.0956 0.6618  1 Er 2.66, 1 Ta 2.74
Cl: 0.1822 0.2334 0.8401  2 Ta 2.46-2.47
Cl: 0.8683 0.5878 0.0011  2 Ta 2.47
Cl: 0.3511 0.4467 0.1618  1 Er 2.66, 1 Ta 2.74
Cl: 0.7196 0.1317 0.0011  2 Ta 2.47
Cl: 0.2804 0.8683 0.9989  2 Ta 2.47
Cl: 0.6489 0.5533 0.8382  1 Er 2.66, 1 Ta 2.74
Cl: 0.5878 0.8683 0.5011  2 Ta 2.47
Cl: 0.8178 0.7666 0.1599  2 Ta 2.46-2.47
Cl: 0.9488 0.7666 0.3401  2 Ta 2.46-2.47
Cl: 0.4122 0.2804 0.0011  2 Ta 2.47
Cl: 0.7666 0.9488 0.8401  2 Ta 2.46-2.47
Cl: 0.0512 0.2334 0.6599  2 Ta 2.46-2.47
Cl: 0.1317 0.4122 0.9989  2 Ta 2.47
Cl: 0.8683 0.2804 0.4989  2 Ta 2.47
Cl: 0.4467 0.0956 0.8382  1 Er 2.66, 1 Ta 2.74
Cl: 0.3511 0.9044 0.3382  1 Er 2.66, 1 Ta 2.74
Cl: 0.5878 0.7196 0.9989  2 Ta 2.47
Cl: 0.0956 0.6489 0.1618  1 Er 2.66, 1 Ta 2.74
Cl: 0.5533 0.6489 0.3382  1 Er 2.66, 1 Ta 2.74
Cl: 0.7666 0.8178 0.6599  2 Ta 2.46-2.47
Cl: 0.4467 0.3511 0.6618  1 Er 2.66, 1 Ta 2.74
Cl: 0.1317 0.7196 0.5011  2 Ta 2.47
Cl: 0.2334 0.1822 0.3401  2 Ta 2.46-2.47
Cl: 0.0956 0.4467 0.3382  1 Er 2.66, 1 Ta 2.74
Cl: 0.9044 0.5533 0.6618  1 Er 2.66, 1 Ta 2.74
Cl: 0.0512 0.8178 0.8401  2 Ta 2.46-2.47
Cl: 0.9044 0.3511 0.8382  1 Er 2.66, 1 Ta 2.74
Er: 0.3333 0.6667 0.2500  6 Cl 2.66
Er: 0.6667 0.3333 0.7500  6 Cl 2.66
Ta: 0.9568 0.1508 0.9327  5 Cl 2.46-2.74
Ta: 0.1940 0.1508 0.5673  5 Cl 2.46-2.74
Ta: 0.9568 0.8060 0.5673  5 Cl 2.46-2.74
Ta: 0.0432 0.8492 0.0673  5 Cl 2.46-2.74
Ta: 0.1940 0.0432 0.9327  5 Cl 2.46-2.74
Ta: 0.1508 0.9568 0.4327  5 Cl 2.46-2.74
Ta: 0.1508 0.1940 0.0673  5 Cl 2.46-2.74
Ta: 0.8492 0.0432 0.5673  5 Cl 2.46-2.74
Ta: 0.0432 0.1940 0.4327  5 Cl 2.46-2.74
Ta: 0.8060 0.8492 0.4327  5 Cl 2.46-2.74
Ta: 0.8060 0.9568 0.0673  5 Cl 2.46-2.74
Ta: 0.8492 0.8060 0.9327  5 Cl 2.46-2.74
Cs: 0.6667 0.3333 0.2500  12 Cl 3.93-3.95
Cs: 0.3333 0.6667 0.7500  12 Cl 3.93-3.95

Results
**VASP energy**: -297.06 eV/cell
**Formation energy from raw total energies**: -1491 meV/atom
**Space group**: No. 163

***

No. 2
Below is a relaxed Zr2Zn2S crystal, with properties calculated at the PBE-GGA level.

Cell lengths 3.4330, 3.4330, 8.1538 Å; angles 77.85, 77.85, 90.00 degrees
Last column: nearest neighbours and their distance in Å.
Element x y z (fractional)
Zn: 0.2500 0.7500 0.5000  4 Zn 2.43
Zn: 0.7500 0.2500 0.5000  4 Zn 2.43
Zr: 0.4043 0.4043 0.1915  4 S 2.85, 4 Zn 2.95, 1 Zr 2.98
Zr: 0.5957 0.5957 0.8085  4 S 2.85, 4 Zn 2.95, 1 Zr 2.98
S: 0.0000 0.0000 0.0000  8 Zr 2.85

Results
**VASP energy**: -25.68 eV/cell
**Formation energy from raw total energies**: -382 meV/atom
**E above lowest polymorph**: 208 meV/atom
**Space group**: No. 139

***

No. 3
Below is a relaxed BeInNi crystal, with properties calculated at the PBE-GGA level.

Cell lengths 2.9182, 2.9182, 5.9535 Å; angles 90.00, 90.00, 120.00 degrees
Last column: nearest neighbours and their distance in Å.
Element x y z (fractional)
Be: 0.0000 0.0000 0.9543  3 Ni 2.24
Ni: 0.3333 0.6667 0.7062  3 Be 2.24
In: 0.6667 0.3333 0.3395  3 Ni 2.76, 3 Be 2.85, 6 In 2.92

Results
**VASP energy**: -11.32 eV/cell
**E above lowest polymorph**: 322 meV/atom
**Formation energy**: 0.9 eV/f.u.
**Space group**: No. 156

***

No. 4
Below is a relaxed Rb3TbY2O6 crystal, with properties calculated at the PBE-GGA level.

Cell lengths 6.1034, 6.1034, 6.8746 Å; angles 98.51, 98.51, 120.00 degrees
Last column: nearest neighbours and their distance in Å.
Element x y z (fractional)
O: 0.3927 0.0587 0.1760  2 Y 2.34, 1 Tb 2.34
O: 0.0587 0.3927 0.1760  2 Y 2.34, 1 Tb 2.34
O: 0.9413 0.6073 0.8240  2 Y 2.34, 1 Tb 2.34
O: 0.2753 0.2753 0.8240  2 Y 2.34, 1 Tb 2.34
O: 0.7247 0.7247 0.1760  2 Y 2.34, 1 Tb 2.34
O: 0.6073 0.9413 0.8240  2 Y 2.34, 1 Tb 2.34
Y: 0.6667 0.3333 0.0000  6 O 2.34
Y: 0.3333 0.6667 0.0000  6 O 2.34
Rb: 0.5000 0.5000 0.5000  6 O 2.94-2.95
Rb: 0.8332 0.1668 0.5000  6 O 2.94-2.95
Rb: 0.1668 0.8332 0.5000  6 O 2.94-2.95
Tb: 0.0000 0.0000 0.0000  6 O 2.34

Results
**VASP energy**: -82.35 eV/cell
**Formation energy from raw total energies**: -2679 meV/atom
**Space group**: No. 12

***

No. 5
Below is a relaxed Sm3RuRh crystal, with properties calculated at the PBE-GGA level.

Cell lengths 4.1496, 7.6170, 8.2367 Å; angles 107.56, 90.00, 90.00 degrees
Last column: nearest neighbours and their distance in Å.
Element x y z (fractional)
Sm: 0.7500 0.0937 0.2435  3 Rh 2.89-3.06, 2 Ru 3.02
Sm: 0.7500 0.3171 0.9404  1 Rh 2.80, 3 Ru 2.97-3.01
Sm: 0.7500 0.6350 0.3983  3 Ru 3.00-3.25, 3 Rh 3.05-3.27
Sm: 0.2500 0.6829 0.0596  1 Rh 2.80, 3 Ru 2.97-3.01
Sm: 0.2500 0.9063 0.7565  3 Rh 2.89-3.06, 2 Ru 3.02
Sm: 0.2500 0.3650 0.6017  3 Ru 3.00-3.25, 3 Rh 3.05-3.27
Ru: 0.2500 0.3670 0.2078  8 Sm 2.97-3.25
Ru: 0.7500 0.6330 0.7922  8 Sm 2.97-3.25
Rh: 0.7500 0.0740 0.6093  2 Rh 2.76, 6 Sm 2.80-3.06
Rh: 0.2500 0.9260 0.3907  2 Rh 2.76, 6 Sm 2.80-3.06

Results
**VASP energy**: -65.56 eV/cell
**E above lowest polymorph**: 22 meV/atom
**Formation energy**: -2.0 eV/f.u.
**Space group**: No. 11

***

No. 6
Below is a relaxed RbNa2HgGe crystal, with properties calculated at the PBE-GGA level.

Cell lengths 5.7560, 5.7560, 5.5729 Å; angles 90.00, 90.00, 90.00 degrees
Last column: nearest neighbours and their distance in Å.
Element x y z (fractional)
Rb: 0.5000 0.5000 0.5000  8 Na 4.01, 4 Hg 4.07
Na: 0.0000 0.5000 0.0000  2 Ge 2.88
Na: 0.5000 0.0000 0.0000  2 Ge 2.88
Hg: 0.0000 0.0000 0.5000  2 Ge 2.79
Ge: 0.0000 0.0000 0.0000  2 Hg 2.79, 4 Na 2.88

Results
**VASP energy**: -8.76 eV/cell
**Formation energy**: -0.2 eV/f.u.
**Space group**: No. 123

***

No. 7
Below is a relaxed Tl3SI crystal, with properties calculated at the PBE-GGA level.

Cell lengths 4.4324, 9.8149, 16.4950 Å; angles 90.00, 90.00, 90.00 degrees
Last column: nearest neighbours and their distance in Å.
Element x y z (fractional)
Tl: 0.7500 0.3248 0.9926  2 S 3.01
Tl: 0.2500 0.2764 0.7672  1 S 2.88
Tl: 0.2500 0.1752 0.4926  2 S 3.01
Tl: 0.7500 0.9531 0.8947  3 S 2.99-3.15
Tl: 0.7500 0.4531 0.6053  3 S 2.99-3.15
Tl: 0.7500 0.2236 0.2672  1 S 2.88
Tl: 0.2500 0.6752 0.0074  2 S 3.01
Tl: 0.7500 0.8248 0.5074  2 S 3.01
Tl: 0.2500 0.7764 0.7328  1 S 2.88
Tl: 0.7500 0.7236 0.2328  1 S 2.88
Tl: 0.2500 0.5469 0.3947  3 S 2.99-3.15
Tl: 0.2500 0.0469 0.1053  3 S 2.99-3.15
S: 0.7500 0.8495 0.0751  6 Tl 2.88-3.15
S: 0.7500 0.3495 0.4249  6 Tl 2.88-3.15
S: 0.2500 0.1505 0.9249  6 Tl 2.88-3.15
S: 0.2500 0.6505 0.5751  6 Tl 2.88-3.15
I: 0.2500 0.4606 0.1718  6 Tl 3.43-3.77
I: 0.7500 0.0394 0.6718  6 Tl 3.43-3.77
I: 0.7500 0.5394 0.8282  6 Tl 3.43-3.77
I: 0.2500 0.9606 0.3282  6 Tl 3.43-3.77

Results
**VASP energy**: -60.18 eV/cell
**Formation energy from raw total energies**: -454 meV/atom
**E above lowest polymorph**: 0 meV/atom
**Space group**: No. 62

***

No. 8
Below is a relaxed NbHgPd crystal, with properties calculated at the PBE-GGA level.

Cell lengths 2.9081, 4.1461, 13.8703 Å; angles 103.94, 96.20, 44.54 degrees
Last column: nearest neighbours and their distance in Å.
Element x y z (fractional)
Hg: 0.4503 0.5096 0.6075  5 Hg 2.91-3.14, 4 Pd 2.97-2.99
Hg: 0.9290 0.1412 0.8257  5 Hg 2.91-3.14, 4 Pd 2.97-2.99
Nb: 0.7429 0.4822 0.1331  4 Pd 2.83-2.85, 8 Nb 2.91-3.05
Nb: 0.6363 0.1687 0.3001  4 Pd 2.83-2.85, 8 Nb 2.91-3.05
Pd: 0.8329 0.8194 0.9868  4 Nb 2.83-2.85, 4 Pd 2.91, 4 Hg 2.97-2.99
Pd: 0.5463 0.8314 0.4464  4 Nb 2.83-2.85, 4 Pd 2.91, 4 Hg 2.97-2.99

Results
**VASP energy**: -32.12 eV/cell
**Formation energy**: -0.5 eV/f.u.
**Space group**: No. 2

***

No. 9
Below is a relaxed Ho3Al5Ni crystal, with properties calculated at the PBE-GGA level.

Cell lengths 4.3014, 6.9349, 6.9349 Å; angles 120.00, 90.00, 90.00 degrees
Last column: nearest neighbours and their distance in Å.
Element x y z (fractional)
Ni: 0.0000 0.0000 0.0000  6 Al 2.68, 3 Ho 2.80
Al: 0.5000 0.3333 0.6667  3 Al 2.74, 6 Ho 3.01
Al: 0.5000 0.0000 0.7698  2 Ni 2.68, 4 Al 2.74-2.77
Al: 0.5000 0.2302 0.2302  2 Ni 2.68, 4 Al 2.74-2.77
Al: 0.5000 0.7698 0.0000  2 Ni 2.68, 4 Al 2.74-2.77
Al: 0.5000 0.6667 0.3333  3 Al 2.74, 6 Ho 3.01
Ho: 0.0000 0.4040 0.0000  1 Ni 2.80, 4 Al 3.01
Ho: 0.0000 0.0000 0.4040  1 Ni 2.80, 4 Al 3.01
Ho: 0.0000 0.5960 0.5960  1 Ni 2.80, 4 Al 3.01

Results
**VASP energy**: -43.27 eV/cell
**Formation energy**: -5.0 eV/f.u.
**Space group**: No. 189

***

No. 10
Below is a relaxed La4Pm3NpN8 crystal, with properties calculated at the PBE-GGA level.

Cell lengths 7.2622, 7.3154, 7.2633 Å; angles 119.78, 120.00, 90.00 degrees
Last column: nearest neighbours and their distance in Å.
Element x y z (fractional)
N: 0.7716 0.2774 0.5432  1 Np 2.35, 2 Pm 2.56, 2 La 2.62
N: 0.2337 0.2779 0.0058  1 Np 2.35, 2 Pm 2.56, 2 La 2.62
N: 0.7480 0.7438 0.4959  3 Pm 2.56, 3 La 2.60
N: 0.2520 0.2562 0.5041  3 Pm 2.56, 3 La 2.60
N: 0.2279 0.7221 0.9942  1 Np 2.35, 2 Pm 2.56, 2 La 2.62
N: 0.2284 0.7226 0.4568  1 Np 2.35, 2 Pm 2.56, 2 La 2.62
N: 0.7721 0.2779 0.0058  1 Np 2.35, 2 Pm 2.56, 2 La 2.62
N: 0.7663 0.7221 0.9942  1 Np 2.35, 2 Pm 2.56, 2 La 2.62
Pm: 0.5000 0.5000 0.0000  6 N 2.56
Pm: 0.5000 0.5000 0.5000  6 N 2.56
Pm: 0.0000 0.5000 0.5000  6 N 2.56
La: 0.5000 0.0000 0.5000  6 N 2.60-2.62
La: 0.0000 0.0000 0.5000  6 N 2.60-2.62
La: 0.5000 0.0000 0.0000  6 N 2.80-2.81
La: 0.0000 0.0000 0.0000  6 N 2.60-2.62
Np: 0.0000 0.5000 0.0000  6 N 2.35

Results
**VASP energy**: -134.96 eV/cell
**Formation energy from raw total energies**: -1341 meV/atom
**Space group**: No. 166

***

No. 11
Below is a relaxed PmTmTlRh crystal, with properties calculated at the PBE-GGA level.

Cell lengths 3.5076, 3.5076, 7.8790 Å; angles 90.00, 90.00, 90.00 degrees
Last column: nearest neighbours and their distance in Å.
Element x y z (fractional)
Tm: 0.5000 0.5000 0.3616  4 Rh 2.90
Rh: 0.0000 0.0000 0.5522  4 Tm 2.90, 4 Pm 3.09
Tl: 0.0000 0.0000 0.0853  4 Tm 3.30, 4 Pm 3.43, 4 Tl 3.51, 1 Rh 3.68
Pm: 0.5000 0.5000 0.7855  4 Rh 3.09, 1 Tm 3.34, 4 Tl 3.43

Results
**VASP energy**: -21.31 eV/cell
**E above lowest polymorph**: 0 meV/atom
**Formation energy**: -2.4 eV/f.u.
**Space group**: No. 99